Record 1
## YB2AsBr (GGA-PBEsol)

Data for YB2AsBr after structural relaxation.

The structure in POSCAR format:
```
YB2AsBr
1.0
4.1060 0.0000 0.0000
0.0000 4.1060 0.0000
0.0000 0.0000 5.6144
Br B As Y
1 2 1 1
Direct
0.5000 0.5000 0.5000 Br
0.0000 0.5000 0.0000 B
0.5000 0.0000 0.0000 B
0.0000 0.0000 0.0000 As
0.0000 0.0000 0.5000 Y
```

* energy relative to the elements, uncorrected: 0.64 eV per atom
* calculated volume: 18.931 Å³ per atom
* crystal system: tetragonal
* SG: P4/mmm
* raw total energy: -4.92 eV per atom
* spin magnetization: 0.00 μB/f.u.

=====

Record 2
## B2AsC2 (GGA-PBEsol)

Data for B2AsC2 after structural relaxation.

The structure in POSCAR format:
```
B2AsC2
1.0
-0.7263 -1.2346 2.1241
5.6419 -0.0141 1.9209
-0.9140 5.2223 2.7228
B As C
4 2 4
Direct
0.5000 0.8964 0.3964 B
0.5000 0.6036 0.8964 B
0.5000 0.1036 0.6036 B
0.5000 0.3964 0.1036 B
0.0000 0.5000 0.5000 As
0.0000 0.0000 0.0000 As
0.0000 0.8966 0.6034 C
0.0000 0.1034 0.3966 C
0.0000 0.3966 0.8966 C
0.0000 0.6034 0.1034 C
```

* calculated volume: 9.100 Å³ per atom
* ΔE_f: 9.40 eV per formula unit
* crystal system: tetragonal
* SG: P4/mbm
* raw total energy: -5.81 eV per atom
* spin magnetization: 0.00 μB/f.u.

=====

Record 3
## CaBAs3 (GGA-PBEsol)

Data for CaBAs3 after structural relaxation.

The structure in POSCAR format:
```
CaBAs3
1.0
4.5219 0.0000 0.0000
0.0000 4.5219 0.0000
0.0000 0.0000 4.5219
Ca As B
1 3 1
Direct
0.5000 0.5000 0.5000 Ca
0.5000 0.0000 0.0000 As
0.0000 0.5000 0.0000 As
0.0000 0.0000 0.5000 As
0.0000 0.0000 0.0000 B
```

* calculated volume: 18.492 Å³ per atom
* ΔE_f: 0.98 eV per formula unit
* crystal system: cubic
* SG: Pm-3m
* raw total energy: -4.70 eV per atom
* spin magnetization: 0.00 μB/f.u.

=====

Record 4
## NaCaBAs2 (GGA-PBEsol)

Data for NaCaBAs2 after structural relaxation.

The structure in POSCAR format:
```
NaCaBAs2
1.0
5.2617 0.0000 0.0000
0.0000 5.2617 0.0000
0.0000 0.0000 5.4335
As B Na Ca
2 1 1 1
Direct
0.0000 0.5000 0.0000 As
0.5000 0.0000 0.0000 As
0.5000 0.5000 0.5000 B
0.0000 0.0000 0.5000 Na
0.0000 0.0000 0.0000 Ca
```

* calculated volume: 30.086 Å³ per atom
* ΔE_f: 7.06 eV per formula unit
* crystal system: tetragonal
* SG: P4/mmm
* raw total energy: -2.74 eV per atom
* spin magnetization: 0.00 μB/f.u.

=====

Record 5
## CdBAs2 (GGA-PBEsol)

Data for CdBAs2 after structural relaxation.

The structure in POSCAR format:
```
CdBAs2
1.0
4.5703 0.0000 0.0000
2.2851 3.9580 0.0000
2.2851 1.3193 3.7316
As B Cd
2 1 1
Direct
0.7500 0.7500 0.7500 As
0.2500 0.2500 0.2500 As
0.0000 0.0000 0.0000 B
0.5000 0.5000 0.5000 Cd
```

* E above lowest polymorph: 879 meV per atom
* calculated volume: 16.875 Å³ per atom
* ΔE_f: 4.25 eV per formula unit
* crystal system: cubic
* SG: Fm-3m
* raw total energy: -3.55 eV per atom
* spin magnetization: 0.00 μB/f.u.

=====

Record 6
## CdBAs2 (GGA-PBEsol)

Data for CdBAs2 after structural relaxation.

The structure in POSCAR format:
```
CdBAs2
1.0
-3.5990 -2.9538 3.1279
3.9883 -3.3013 -3.5577
4.3020 -2.4295 2.6555
Cd As B
2 4 2
Direct
0.0000 0.0000 0.0000 Cd
0.7500 0.5000 0.7500 Cd
0.5468 0.7500 0.3750 As
0.8750 0.2500 0.5468 As
0.3750 0.2500 0.2032 As
0.2032 0.7500 0.8750 As
0.5000 0.0000 0.5000 B
0.2500 0.5000 0.2500 B
```

* E above lowest polymorph: 0 meV per atom
* calculated volume: 19.158 Å³ per atom
* ΔE_f: 0.73 eV per formula unit
* crystal system: tetragonal
* SG: I-42d
* raw total energy: -4.42 eV per atom
* spin magnetization: 0.00 μB/f.u.

=====

Record 7
## CdBAsP2 (GGA-PBEsol)

Data for CdBAsP2 after structural relaxation.

The structure in POSCAR format:
```
CdBAsP2
1.0
4.0507 0.0000 0.0000
0.0000 4.0507 0.0000
0.0000 0.0000 4.7995
B P As Cd
1 2 1 1
Direct
0.0000 0.0000 0.0000 B
0.0000 0.5000 0.0000 P
0.5000 0.0000 0.0000 P
0.0000 0.0000 0.5000 As
0.5000 0.5000 0.5000 Cd
```

* calculated volume: 15.750 Å³ per atom
* ΔE_f: 3.51 eV per formula unit
* crystal system: tetragonal
* SG: P4/mmm
* raw total energy: -4.28 eV per atom
* spin magnetization: 0.00 μB/f.u.

=====

Record 8
## CdReB2As (GGA-PBEsol)

Data for CdReB2As after structural relaxation.

The structure in POSCAR format:
```
CdReB2As
1.0
4.0469 0.0000 0.0000
0.0000 4.0469 0.0000
0.0000 0.0000 5.3453
Re B As Cd
1 2 1 1
Direct
0.0000 0.0000 0.0000 Re
0.5000 0.0000 0.0000 B
0.0000 0.5000 0.0000 B
0.5000 0.5000 0.5000 As
0.0000 0.0000 0.5000 Cd
```

* calculated volume: 17.508 Å³ per atom
* ΔE_f: 6.56 eV per formula unit
* crystal system: tetragonal
* SG: P4/mmm
* raw total energy: -5.42 eV per atom
* spin magnetization: 0.00 μB/f.u.

=====

Record 9
## BAsCl2 (GGA-PBEsol)

Data for BAsCl2 after structural relaxation.

The structure in POSCAR format:
```
BAsCl2
1.0
3.0740 0.0000 0.0000
1.5370 2.6621 0.0000
1.5370 0.8874 9.3497
As B Cl
1 1 2
Direct
0.5000 0.5000 0.5000 As
0.0000 0.0000 0.0000 B
0.9409 0.9409 0.1774 Cl
0.0591 0.0591 0.8226 Cl
```

* energy relative to the elements, uncorrected: 0.38 eV per atom
* calculated volume: 19.128 Å³ per atom
* crystal system: trigonal
* SG: R-3m
* raw total energy: -3.65 eV per atom
* spin magnetization: 0.00 μB/f.u.

=====

Record 10
## BAs2Cl (GGA-PBEsol)

Data for BAs2Cl after structural relaxation.

The structure in POSCAR format:
```
BAs2Cl
1.0
4.4269 0.0000 0.0000
2.2135 3.8338 0.0000
2.2135 1.2779 3.6146
As Cl B
2 1 1
Direct
0.2500 0.2500 0.2500 As
0.7500 0.7500 0.7500 As
0.5000 0.5000 0.5000 Cl
0.0000 0.0000 0.0000 B
```

* energy relative to the elements, uncorrected: 1.02 eV per atom
* calculated volume: 15.336 Å³ per atom
* crystal system: cubic
* SG: Fm-3m
* raw total energy: -3.79 eV per atom
* spin magnetization: 0.00 μB/f.u.

=====

Record 11
## B2AsCl (GGA-PBEsol)

Data for B2AsCl after structural relaxation.

The structure in POSCAR format:
```
B2AsCl
1.0
-0.2638 3.5447 2.1756
-3.5121 2.2418 -0.0868
-2.4316 0.1951 3.3789
B As Cl
2 1 1
Direct
0.7500 0.7500 0.7500 B
0.2500 0.2500 0.2500 B
0.5000 0.5000 0.5000 As
0.0000 0.0000 0.0000 Cl
```

* energy relative to the elements, uncorrected: 1.68 eV per atom
* calculated volume: 12.795 Å³ per atom
* crystal system: cubic
* SG: Fm-3m
* raw total energy: -3.61 eV per atom
* spin magnetization: 0.00 μB/f.u.

=====

Record 12
## CoBAs2Cl (GGA-PBEsol)

Data for CoBAs2Cl after structural relaxation.

The structure in POSCAR format:
```
CoBAs2Cl
1.0
-2.8140 -3.1172 -0.3728
3.0266 -2.8518 0.9995
-0.9912 0.3995 4.1412
As B Cl Co
2 1 1 1
Direct
0.0000 0.0000 0.5000 As
0.0000 0.5000 0.0000 As
0.0000 0.0000 0.0000 B
0.5000 0.0000 0.0000 Cl
0.5000 0.5000 0.5000 Co
```

* energy relative to the elements, uncorrected: 1.02 eV per atom
* calculated volume: 15.424 Å³ per atom
* crystal system: tetragonal
* SG: P4/mmm
* raw total energy: -4.38 eV per atom
* spin magnetization: 1.35 μB/f.u.